Entry 1:
DFT (GGA-PBE) results for a relaxed LiPdBr crystal.

Summary:
N(E_F) (states/eV per cell): 1.426
Uncorrected energy (eV per atom): -3.558
Relative energy among the computed polymorphs (meV per atom): 8
ρ (g/cm³): 5.41
Raw formation energy (eV per atom): -0.631
Space group: P1

```
LiPdBr
1.0
3.790 0.000 0.000
0.000 3.791 0.000
1.876 1.888 8.251
Li Pd Br
2 2 2
direct
0.000 0.000 0.000 Li
0.311 0.308 0.392 Li
0.164 0.156 0.700 Pd
0.645 0.637 0.737 Pd
0.476 0.474 0.055 Br
0.795 0.791 0.427 Br
```



Entry 2:
DFT (GGA-PBE) results for a relaxed CuSi2Hg crystal.

Summary:
N(E_F) (states/eV per cell): 1.913
Uncorrected energy (eV per atom): -3.321
ρ (g/cm³): 7.75
Raw formation energy (eV per atom): 0.490
Space group: P4/mmm

```
CuSi2Hg
1.0
3.691 0.000 0.000
0.000 3.691 0.000
0.000 0.000 5.039
Cu Si Hg
1 2 1
direct
0.000 0.000 0.000 Cu
0.000 0.500 0.500 Si
0.500 0.000 0.500 Si
0.500 0.500 0.000 Hg
```



Entry 3:
DFT (GGA-PBE) results for a relaxed Y4CdHg7 crystal.

Summary:
N(E_F) (states/eV per cell): 6.790
Uncorrected energy (eV per atom): -2.688
ρ (g/cm³): 9.66
ΔH_f (0 K) (eV per atom): -0.281
Space group: C2/m

```
Y4CdHg7
1.0
6.459 -2.684 0.000
6.459 2.684 0.000
-5.583 0.000 9.285
Y Cd Hg
4 1 7
direct
0.081 0.081 0.276 Y
0.237 0.237 0.819 Y
0.763 0.763 0.181 Y
0.919 0.919 0.724 Y
0.500 0.500 0.500 Cd
0.000 0.000 0.500 Hg
0.139 0.139 0.035 Hg
0.303 0.303 0.582 Hg
0.427 0.427 0.156 Hg
0.573 0.573 0.844 Hg
0.697 0.697 0.418 Hg
0.861 0.861 0.965 Hg
```



Entry 4:
DFT (GGA-PBE) results for a relaxed NaMnC2Br crystal.

Summary:
N(E_F) (states/eV per cell): 6.142
Uncorrected energy (eV per atom): -3.436
ρ (g/cm³): 3.02
Raw formation energy (eV per atom): 2.686
Space group: P4/mmm

```
NaMnC2Br
1.0
4.368 0.000 0.000
0.000 4.368 0.000
0.000 0.000 5.233
Na Mn C Br
1 1 2 1
direct
0.000 0.000 0.000 Na
0.500 0.500 0.500 Mn
0.000 0.500 0.000 C
0.500 0.000 0.000 C
0.000 0.000 0.500 Br
```



Entry 5:
DFT (GGA-PBE) results for a relaxed PrPt2Au crystal.

Summary:
N(E_F) (states/eV per cell): 1.107
Uncorrected energy (eV per atom): -5.725
ρ (g/cm³): 13.87
ΔH_f (0 K) (eV per atom): -0.690
Space group: R-3m

```
PrPt2Au
1.0
2.318 1.338 4.683
-2.318 1.338 4.683
0.000 -2.677 4.683
Pr Pt Au
1 2 1
direct
0.000 0.000 0.000 Pr
0.208 0.208 0.208 Pt
0.792 0.792 0.792 Pt
0.500 0.500 0.500 Au
```



Entry 6:
DFT (GGA-PBE) results for a relaxed TlHg3H crystal.

Summary:
N(E_F) (states/eV per cell): 7.492
Uncorrected energy (eV per atom): -1.265
Relative energy among the computed polymorphs (meV per atom): 0
ρ (g/cm³): 9.31
Space group: P2/c

```
TlHg3H
1.0
8.138 0.000 0.000
0.000 6.244 0.000
-2.344 0.000 11.338
Tl Hg H
4 12 4
direct
0.002 0.249 0.409 Tl
0.002 0.751 0.909 Tl
0.998 0.249 0.091 Tl
0.998 0.751 0.591 Tl
0.336 0.249 0.302 Hg
0.336 0.751 0.802 Hg
0.340 0.499 0.555 Hg
0.340 0.501 0.055 Hg
0.341 0.007 0.557 Hg
0.341 0.993 0.057 Hg
0.659 0.007 0.943 Hg
0.659 0.993 0.443 Hg
0.660 0.499 0.945 Hg
0.660 0.501 0.445 Hg
0.664 0.249 0.198 Hg
0.664 0.751 0.698 Hg
0.047 0.250 0.753 H
0.047 0.750 0.253 H
0.953 0.250 0.747 H
0.953 0.750 0.247 H
```



Entry 7:
DFT (GGA-PBE) results for a relaxed Ca6Tl4Bi7 crystal.

Summary:
N(E_F) (states/eV per cell): 14.568
Uncorrected energy (eV per atom): -3.190
ρ (g/cm³): 7.36
ΔH_f (0 K) (eV per atom): -0.329
Space group: Im-3m

```
Ca6Tl4Bi7
1.0
-5.220 5.220 5.220
5.220 -5.220 5.220
5.220 5.220 -5.220
Ca Tl Bi
6 4 7
direct
0.000 0.301 0.301 Ca
0.000 0.699 0.699 Ca
0.301 0.000 0.301 Ca
0.301 0.301 0.000 Ca
0.699 0.000 0.699 Ca
0.699 0.699 0.000 Ca
0.000 0.000 0.500 Tl
0.000 0.500 0.000 Tl
0.500 0.000 0.000 Tl
0.500 0.500 0.500 Tl
0.000 0.000 0.000 Bi
0.250 0.500 0.750 Bi
0.250 0.750 0.500 Bi
0.500 0.250 0.750 Bi
0.500 0.750 0.250 Bi
0.750 0.250 0.500 Bi
0.750 0.500 0.250 Bi
```



Entry 8:
DFT (GGA-PBE) results for a relaxed Sm6CdRh3 crystal.

Summary:
N(E_F) (states/eV per cell): 15.485
Uncorrected energy (eV per atom): -5.635
ρ (g/cm³): 8.25
ΔH_f (0 K) (eV per atom): -0.507
Space group: Cmc2_1

```
Sm6CdRh3
1.0
5.672 -6.521 0.000
5.672 6.521 0.000
0.000 0.000 7.198
Sm Cd Rh
12 2 6
direct
0.059 0.500 0.345 Sm
0.072 0.928 0.500 Sm
0.210 0.790 0.028 Sm
0.310 0.372 0.962 Sm
0.372 0.310 0.462 Sm
0.500 0.059 0.845 Sm
0.500 0.941 0.345 Sm
0.628 0.690 0.962 Sm
0.690 0.628 0.462 Sm
0.790 0.210 0.528 Sm
0.928 0.072 0.000 Sm
0.941 0.500 0.845 Sm
0.328 0.672 0.639 Cd
0.672 0.328 0.139 Cd
0.086 0.250 0.681 Rh
0.250 0.086 0.181 Rh
0.389 0.611 0.255 Rh
0.611 0.389 0.755 Rh
0.750 0.914 0.681 Rh
0.914 0.750 0.181 Rh
```



Entry 9:
DFT (GGA-PBE) results for a relaxed Na4Ce3NdS8 crystal.

Summary:
N(E_F) (states/eV per cell): 18.102
Uncorrected energy (eV per atom): -5.553
ρ (g/cm³): 3.84
Raw formation energy (eV per atom): -1.749
Space group: R-3m

```
Na4Ce3NdS8
1.0
4.137 2.389 6.665
-4.137 2.389 6.665
0.000 -4.777 6.665
Na Ce Nd S
4 3 1 8
direct
0.000 0.000 0.000 Na
0.000 0.500 0.500 Na
0.500 0.000 0.500 Na
0.500 0.500 0.000 Na
0.000 0.000 0.500 Ce
0.000 0.500 0.000 Ce
0.500 0.000 0.000 Ce
0.500 0.500 0.500 Nd
0.244 0.244 0.244 S
0.244 0.745 0.745 S
0.255 0.255 0.756 S
0.255 0.756 0.255 S
0.745 0.244 0.745 S
0.745 0.745 0.244 S
0.756 0.255 0.255 S
0.756 0.756 0.756 S
```



Entry 10:
DFT (GGA-PBE) results for a relaxed BaZn3Sb crystal.

Summary:
N(E_F) (states/eV per cell): 5.153
Uncorrected energy (eV per atom): -1.038
Relative energy among the computed polymorphs (meV per atom): 803
ρ (g/cm³): 3.65
Raw formation energy (eV per atom): 0.935
Space group: Pm-3m

```
BaZn3Sb
1.0
5.916 0.000 0.000
0.000 5.916 0.000
0.000 0.000 5.916
Ba Zn Sb
1 3 1
direct
0.000 0.000 0.000 Ba
0.000 0.000 0.500 Zn
0.000 0.500 0.000 Zn
0.500 0.000 0.000 Zn
0.500 0.500 0.500 Sb
```



Entry 11:
DFT (GGA-PBE) results for a relaxed BaMn5 crystal.

Summary:
N(E_F) (states/eV per cell): 8.848
Uncorrected energy (eV per atom): -7.460
ρ (g/cm³): 6.27
ΔH_f (0 K) (eV per atom): 0.502
Space group: P6/mmm

```
BaMn5
1.0
5.618 0.000 0.000
-2.809 4.865 0.000
0.000 0.000 3.993
Ba Mn
1 5
direct
0.000 0.000 0.000 Ba
0.000 0.500 0.500 Mn
0.333 0.667 0.000 Mn
0.500 0.000 0.500 Mn
0.500 0.500 0.500 Mn
0.667 0.333 0.000 Mn
```



Entry 12:
DFT (GGA-PBE) results for a relaxed Co3P crystal.

Summary:
N(E_F) (states/eV per cell): 3.676
Uncorrected energy (eV per atom): -6.834
Relative energy among the computed polymorphs (meV per atom): 191
ρ (g/cm³): 7.97
ΔH_f (0 K) (eV per atom): -0.153
Space group: P2/m

```
Co3P
1.0
2.608 0.000 0.000
0.000 3.609 0.000
-1.140 0.000 4.596
Co P
3 1
direct
0.000 0.000 0.000 Co
0.366 0.500 0.736 Co
0.634 0.500 0.264 Co
0.000 0.000 0.500 P
```